Compound: Sr2PuVN5
Source: the Alexandria database
Functional: GGA-PBE
Structure: optimized geometry

```
Sr2PuVN5
1.0
-1.042 2.821 1.828
3.405 -4.131 4.930
9.750 5.161 -2.410
N V Sr Pu
10 2 4 2
Direct
0.342 0.684 0.007
0.503 0.006 0.294
0.715 0.430 0.149
0.658 0.316 0.507
0.497 0.994 0.794
0.955 0.910 0.504
0.323 0.645 0.411
0.285 0.570 0.649
0.045 0.090 0.004
0.677 0.355 0.911
0.547 0.095 0.930
0.453 0.905 0.430
0.142 0.284 0.326
0.097 0.193 0.668
0.858 0.716 0.826
0.903 0.807 0.168
0.795 0.590 0.534
0.205 0.410 0.034
```

Output
As for the raw formation energy: -911 meV per atom. For the total energy, the calculation gives -8.516 eV/atom. The calculation puts the size of the total moment at 2.00 μB/f.u.